ScTcGe2 | PBE | relaxed

Cell: 10.361 10.361 10.361 Å, 150.14 132.65 56.99°
Element x y z (fractional)
Sc  0.142  0.142  0.000
Sc  0.150  0.407  0.743
Sc  0.336  0.593  0.743
Sc  0.664  0.407  0.257
Sc  0.850  0.593  0.257
Sc  0.858  0.858  0.000
Tc  0.000  0.000  0.500
Tc  0.000  0.500  0.000
Tc  0.249  0.000  0.249
Tc  0.500  0.000  0.000
Tc  0.500  0.500  0.500
Tc  0.751  0.000  0.751
Ge  0.000  0.264  0.264
Ge  0.000  0.736  0.736
Ge  0.198  0.698  0.500
Ge  0.213  0.865  0.347
Ge  0.303  0.303  0.000
Ge  0.482  0.135  0.347
Ge  0.500  0.268  0.768
Ge  0.500  0.732  0.232
Ge  0.518  0.865  0.653
Ge  0.697  0.697  0.000
Ge  0.787  0.135  0.653
Ge  0.802  0.302  0.500

Excess energy over the best structure of this formula in the dataset in meV per atom: 0
ΔE_f in eV per atom: -0.583



Sc4Tc2Ge | PBE | relaxed

Cell: 5.109 5.109 12.371 Å, 90.00 90.00 90.00°
Element x y z (fractional)
Sc  0.000  0.000  0.210
Sc  0.000  0.000  0.790
Sc  0.000  0.500  0.000
Sc  0.000  0.500  0.500
Sc  0.500  0.000  0.000
Sc  0.500  0.000  0.500
Sc  0.500  0.500  0.290
Sc  0.500  0.500  0.710
Tc  0.000  0.000  0.401
Tc  0.000  0.000  0.599
Tc  0.500  0.500  0.099
Tc  0.500  0.500  0.901
Ge  0.000  0.000  0.000
Ge  0.500  0.500  0.500

ΔE_f in eV per atom: 0.347



- Which of these has the lowest ΔE_f?
  ScTcGe2



- Which of these has the highest ΔE_f?
  Sc4Tc2Ge